Record 1
Crystalline PrHo2Al6 at its relaxed geometry, computed with GGA-PBE.

Cell lengths 3.545, 7.948, 7.948 Å; angles 120.00, 90.00, 90.00 degrees
Fractional coordinates of all 9 atoms:
1 Al 0.500 0.000 0.664
2 Al 0.500 0.000 0.336
3 Al 0.500 0.336 0.000
4 Pr 0.000 0.000 0.000
5 Al 0.500 0.336 0.336
6 Al 0.500 0.664 0.000
7 Al 0.500 0.664 0.664
8 Ho 0.000 0.667 0.333
9 Ho 0.000 0.333 0.667

Raw total energy   -4.51 eV/atom
Polymorph energy (0 for the lowest one)   0 meV/atom
SG   P6/mmm (191)
DFT formation energy   -0.468 eV per atom
Total magnetic moment   0.00 μB per cell

Record 2
Crystalline PrHo4Al4 at its relaxed geometry, computed with GGA-PBE.

Cell lengths 5.171, 9.729, 9.729 Å; angles 90.00, 90.00, 90.00 degrees
Fractional coordinates of all 18 atoms:
1 Al 0.501 0.820 0.921
2 Ho 0.501 0.607 0.148
3 Al 0.499 0.921 0.180
4 Ho 0.499 0.148 0.393
5 Pr 0.000 0.000 0.000
6 Al 0.501 0.180 0.079
7 Al 0.001 0.421 0.680
8 Al 0.001 0.579 0.320
9 Ho 0.001 0.648 0.893
10 Al 0.499 0.079 0.820
11 Ho 0.501 0.393 0.852
12 Pr 0.500 0.500 0.500
13 Al 0.999 0.680 0.579
14 Ho 0.001 0.352 0.107
15 Al 0.999 0.320 0.421
16 Ho 0.499 0.852 0.607
17 Ho 0.999 0.893 0.352
18 Ho 0.999 0.107 0.648

Raw total energy   -4.39 eV/atom
SG   I4/m (87)
DFT formation energy   -0.161 eV per atom
Total magnetic moment   0.00 μB per cell

Record 3
Crystalline Pr2HoAl at its relaxed geometry, computed with GGA-PBE.

Cell lengths 5.486, 5.486, 5.486 Å; angles 60.00, 60.00, 60.00 degrees
Fractional coordinates of all 4 atoms:
1 Ho 0.500 0.500 0.500
2 Al 0.000 0.000 0.000
3 Pr 0.750 0.750 0.750
4 Pr 0.250 0.250 0.250

Raw total energy   -4.53 eV/atom
Polymorph energy (0 for the lowest one)   110 meV/atom
SG   Fm-3m (225)
DFT formation energy   -0.058 eV per atom
Total magnetic moment   0.00 μB per cell

Record 4
Crystalline PrHoAl3 at its relaxed geometry, computed with GGA-PBE.

Cell lengths 4.572, 3.718, 13.991 Å; angles 97.63, 90.00, 90.00 degrees
Last column: magnetic moment on the atom in μB.
Fractional coordinates of all 10 atoms:
1 Al 0.250 0.476 0.951  0.00
2 Al 0.750 0.621 0.242  0.00
3 Ho 0.250 0.789 0.578  0.20
4 Al 0.750 0.524 0.049  0.00
5 Pr 0.250 0.073 0.146  0.01
6 Al 0.250 0.379 0.758  0.00
7 Al 0.250 0.674 0.348  0.00
8 Pr 0.750 0.927 0.854  0.01
9 Ho 0.750 0.211 0.422  0.20
10 Al 0.750 0.326 0.652  0.00

Raw total energy   -4.55 eV/atom
SG   Cmcm (63)
DFT formation energy   -0.434 eV per atom
Total magnetic moment   0.63 μB per cell